The following is a DFT calculation (PBE) of a relaxed structure of Rb5Br2O.

The theoretical density comes out at 2.541 Mg/m³. Its space group is Cmcm. As for the total energy: -45.3 eV/cell. For the magnetic moment, the calculation gives 0.34 μB per formula unit.

Cell: 8.5066 8.5066 15.4651 Å, 90.00 90.00 135.23°
Atoms (fractional coordinates):
Rb 0.0569 0.9431 0.6294
Rb 0.0569 0.9431 0.8706
Rb 0.2994 0.7006 0.6189
Rb 0.2994 0.7006 0.8811
Rb 0.3002 0.6998 0.2500
Rb 0.6998 0.3002 0.7500
Rb 0.7006 0.2994 0.1189
Rb 0.7006 0.2994 0.3811
Rb 0.9431 0.0569 0.1294
Rb 0.9431 0.0569 0.3706
Br 0.1601 0.8399 0.0680
Br 0.1601 0.8399 0.4320
Br 0.8399 0.1601 0.5680
Br 0.8399 0.1601 0.9320
O 0.1820 0.8180 0.7500
O 0.8180 0.1820 0.2500